w) Entry from the Open Quantum Materials Database: MgZnTeO after structural relaxation (GGA-PBE).

a b c (Å): 5.289 5.289 6.471
angles (deg): 90.00 90.00 90.00
Atoms (fractional coordinates):
Mg1 0.250 0.250 0.227
Mg2 0.750 0.750 0.773
Zn1 0.250 0.250 0.675
Zn2 0.750 0.750 0.325
Te1 0.250 0.750 0.500
Te2 0.750 0.250 0.500
O1 0.250 0.250 0.950
O2 0.750 0.750 0.050


x) Entry from the Open Quantum Materials Database: MgZnTeO after structural relaxation (GGA-PBE).

a b c (Å): 4.801 4.801 7.092
angles (deg): 90.00 90.00 90.00
Atoms (fractional coordinates):
Mg1 0.250 0.750 0.000
Mg2 0.750 0.250 0.000
Zn1 0.250 0.250 0.213
Zn2 0.750 0.750 0.787
Te1 0.250 0.250 0.744
Te2 0.750 0.750 0.256
O1 0.250 0.250 0.471
O2 0.750 0.750 0.529


Most stable structure among those shown: w).